Record 1
# TbGd2Pb7

TbGd2Pb7 after structural relaxation (GGA-PBE, OQMD). Values from VASP.

Computed properties:
Calculated total energy: -4.356 eV/atom

```
&SYSTEM
  ibrav = 0, nat = 10, ntyp = 3
/
ATOMIC_SPECIES
Tb 158.93 Tb.upf
Gd 157.25 Gd.upf
Pb 207.20 Pb.upf
ATOMIC_POSITIONS crystal
Tb 0.000 0.000 0.000
Gd 0.189 0.811 0.000
Gd 0.811 0.189 0.000
Pb 0.097 0.903 0.500
Pb 0.294 0.706 0.500
Pb 0.403 0.597 0.000
Pb 0.500 0.500 0.500
Pb 0.597 0.403 0.000
Pb 0.706 0.294 0.500
Pb 0.903 0.097 0.500
CELL_PARAMETERS angstrom
2.345 -12.971 0.000
2.345 12.971 0.000
0.000 0.000 4.713
```

=====

Record 2
# LaNpIr

LaNpIr after structural relaxation (GGA-PBE, OQMD). Values from VASP.

Computed properties:
E_form: -0.44 eV per formula unit

```
&SYSTEM
  ibrav = 0, nat = 3, ntyp = 3
/
ATOMIC_SPECIES
La 138.91 La.upf
Np 237.00 Np.upf
Ir 192.22 Ir.upf
ATOMIC_POSITIONS crystal
La 0.000 0.000 0.000
Np 0.500 0.500 0.500
Ir 0.250 0.250 0.250
CELL_PARAMETERS angstrom
0.000 3.461 3.461
3.461 0.000 3.461
3.461 3.461 0.000
```

=====

Record 3
# HoTm2Lu3Bi2Os

HoTm2Lu3Bi2Os after structural relaxation (GGA-PBE, OQMD). Values from VASP.

Computed properties:
Calculated total energy: -5.729 eV/atom

```
&SYSTEM
  ibrav = 0, nat = 9, ntyp = 5
/
ATOMIC_SPECIES
Ho 164.93 Ho.upf
Tm 168.93 Tm.upf
Lu 174.97 Lu.upf
Bi 208.98 Bi.upf
Os 190.23 Os.upf
ATOMIC_POSITIONS crystal
Ho 0.000 0.000 0.000
Tm 0.000 0.234 0.616
Tm 0.000 0.616 0.234
Lu 0.500 0.384 0.384
Lu 0.500 0.616 0.847
Lu 0.500 0.847 0.616
Bi 0.500 0.284 0.949
Bi 0.500 0.949 0.284
Os 0.000 0.614 0.614
CELL_PARAMETERS angstrom
4.215 0.000 0.000
0.000 7.059 4.084
0.000 -7.059 4.084
```

=====

| no. | total magnetization (μB per cell) | calculated volume (Å³ per cell) |
| --- | --- | --- |
| 1 | 0.0 | 287 |
| 2 | 4.6 | 83 |
| 3 | 0.0 | 243 |